## ZrSb3Br (PBE-GGA)

Data for a geometry-optimized ZrSb3Br structure.

a = 5.3493 Å, b = 5.3493 Å, c = 5.3493 Å
α = 90.00°, β = 90.00°, γ = 90.00°
With the nearest neighbours (Å) after each atom.
Element x y z (fractional)
1 Sb 0.0000 0.5000 0.0000  2 Br 2.67
2 Sb 0.0000 0.0000 0.5000  2 Br 2.67
3 Sb 0.5000 0.0000 0.0000  2 Br 2.67
4 Br 0.0000 0.0000 0.0000  6 Sb 2.67
5 Zr 0.5000 0.5000 0.5000  12 Sb 3.78

Output
Its total energy is -3.59 eV per atom. The calculation puts the calculated volume at 30.6 A^3/atom. The formation energy from raw total energies comes out at 0.92 eV/atom. The value obtained for the energy above the lowest structure with this stoichiometry is 0.8323 eV per atom. The calculation puts the total magnetization at 0.00 μB per cell.

=====

## ZrSbBr2 (PBE-GGA)

Data for a geometry-optimized ZrSbBr2 structure.

a = 7.3338 Å, b = 7.3338 Å, c = 7.2625 Å
α = 59.55°, β = 59.55°, γ = 26.16°
With the nearest neighbours (Å) after each atom.
Element x y z (fractional)
1 Sb 0.5835 0.5835 0.4590  2 Zr 2.98, 2 Sb 3.32
2 Br 0.9062 0.9062 0.1101  2 Zr 2.69
3 Br 0.7516 0.7516 0.8235  2 Zr 2.69
4 Zr 0.2587 0.2587 0.1075  4 Br 2.69, 2 Sb 2.98

Output
Its total energy is -4.80 eV per atom. The calculation puts the calculated volume at 36.8 A^3/atom. The formation energy from raw total energies comes out at -0.79 eV/atom. The value obtained for the energy above the lowest structure with this stoichiometry is 0.0000 eV per atom. The calculation puts the total magnetization at 0.00 μB per cell.

=====

## ZrSbBr2 (PBE-GGA)

Data for a geometry-optimized ZrSbBr2 structure.

a = 3.5202 Å, b = 7.3818 Å, c = 7.3954 Å
α = 46.90°, β = 90.00°, γ = 90.00°
With the nearest neighbours (Å) after each atom.
Element x y z (fractional)
1 Sb 0.5000 0.2500 0.2500  2 Zr 2.94
2 Br 0.0000 0.9017 0.9003  2 Zr 2.70
3 Br 0.0000 0.5983 0.5997  2 Zr 2.70
4 Zr 0.5000 0.7500 0.7500  4 Br 2.70, 2 Sb 2.94

Output
Its total energy is -4.68 eV per atom. The calculation puts the calculated volume at 35.1 A^3/atom. The formation energy from raw total energies comes out at -0.68 eV/atom. The value obtained for the energy above the lowest structure with this stoichiometry is 0.1121 eV per atom. The calculation puts the total magnetization at 0.41 μB per cell.

=====

## ZrSb2Br4 (PBE-GGA)

Data for a geometry-optimized ZrSb2Br4 structure.

a = 5.8835 Å, b = 5.8835 Å, c = 9.0234 Å
α = 70.97°, β = 70.97°, γ = 90.00°
With the nearest neighbours (Å) after each atom.
Element x y z (fractional)
1 Sb 0.5853 0.5853 0.8295  1 Sb 2.73
2 Sb 0.4147 0.4147 0.1705  1 Sb 2.73
3 Br 0.8398 0.8398 0.3203  1 Zr 2.56
4 Br 0.1602 0.1602 0.6797  1 Zr 2.56
5 Br 0.0000 0.5000 0.0000  2 Zr 2.94, 4 Sb 3.24
6 Br 0.5000 0.0000 0.0000  2 Zr 2.94, 4 Sb 3.24
7 Zr 0.0000 0.0000 0.0000  2 Br 2.56

Output
Its total energy is -3.63 eV per atom. The calculation puts the calculated volume at 39.6 A^3/atom. The formation energy from raw total energies comes out at -0.27 eV/atom. The calculation puts the total magnetization at 1.26 μB per cell.

=====

Question: The highest total magnetization belongs to which entry?
Answer: ZrSb2Br4

=====

Question: What is the formula in the first record?
Answer: ZrSb3Br

=====

Repeat the first record exactly.
## ZrSb3Br (PBE-GGA)

Data for a geometry-optimized ZrSb3Br structure.

a = 5.3493 Å, b = 5.3493 Å, c = 5.3493 Å
α = 90.00°, β = 90.00°, γ = 90.00°
With the nearest neighbours (Å) after each atom.
Element x y z (fractional)
1 Sb 0.0000 0.5000 0.0000  2 Br 2.67
2 Sb 0.0000 0.0000 0.5000  2 Br 2.67
3 Sb 0.5000 0.0000 0.0000  2 Br 2.67
4 Br 0.0000 0.0000 0.0000  6 Sb 2.67
5 Zr 0.5000 0.5000 0.5000  12 Sb 3.78

Output
Its total energy is -3.59 eV per atom. The calculation puts the calculated volume at 30.6 A^3/atom. The formation energy from raw total energies comes out at 0.92 eV/atom. The value obtained for the energy above the lowest structure with this stoichiometry is 0.8323 eV per atom. The calculation puts the total magnetization at 0.00 μB per cell.

=====

Question: Among the records above, which one has the lowest formation energy from raw total energies?
Answer: number 2